DFT (GGA-PBE) results for CsTaTi2O8 after structural relaxation.

It has space group P-3m1 (No. 164), with a = 5.8311 Å, b = 5.8311 Å, c = 8.3691 Å, α = 90.00°, β = 90.00° and γ = 120.00°. The distinct sites, in fractional coordinates, are Cs at (0.0000, 0.0000, 0.0000), Ta at (0.0000, 0.0000, 0.5000), Ti at (0.3333, 0.6667, 0.7059), O at (0.1595, 0.3190, 0.6385) and O at (0.3333, 0.6667, 0.9171).

The uncorrected formation energy is -2.3957 eV per atom. As for the total energy: -96.910 eV/f.u.

=====

DFT (GGA-PBE) results for Rb4Ac3PrO8 after structural relaxation.

It has space group R-3m (No. 166, hexagonal axes), with a = 7.6883 Å, b = 7.6883 Å, c = 19.9500 Å, α = 90.00°, β = 90.00° and γ = 120.00°. The distinct sites, in fractional coordinates, are Rb at (0.0000, 0.0000, 0.0000), Rb at (0.0000, 0.5000, 0.0000), Ac at (0.0000, 0.5000, 0.5000), Pr at (0.0000, 0.0000, 0.5000), O at (0.0000, 0.0000, 0.2286) and O at (0.0081, 0.5041, 0.2278).

The uncorrected formation energy is -2.5219 eV per atom. As for the total energy: -100.992 eV/f.u.

=====

DFT (GGA-PBE) results for NaTaTc2H after structural relaxation.

It has space group P4/mmm (No. 123), with a = 4.180 Å, b = 4.180 Å, c = 3.806 Å, α = 90.00°, β = 90.00° and γ = 90.00°. The distinct sites, in fractional coordinates, are Na at (0.000, 0.000, 0.000), Ta at (0.500, 0.500, 0.000), Tc at (0.000, 0.500, 0.500) and H at (0.000, 0.000, 0.500).

As for the total energy: -34.518 eV/f.u.

=====

DFT (GGA-PBE) results for Tl3InOs after structural relaxation.

It has space group Pm-3m (No. 221), with a = 5.335 Å, b = 5.335 Å, c = 5.335 Å, α = 90.00°, β = 90.00° and γ = 90.00°. The distinct sites, in fractional coordinates, are Tl at (0.000, 0.000, 0.500), In at (0.500, 0.500, 0.500) and Os at (0.000, 0.000, 0.000).

As for the energy relative to the elements: 464 meV per atom. As for the total energy: -18.747 eV/f.u.

=====

DFT (GGA-PBE) results for Cu4OF2 after structural relaxation.

It has space group I4/mmm (No. 139), with a = 3.663 Å, b = 3.663 Å, c = 15.797 Å, α = 90.00°, β = 90.00° and γ = 90.00°. The distinct sites, in fractional coordinates, are Cu at (0.000, 0.000, 0.227), Cu at (0.000, 0.500, 0.000), O at (0.000, 0.000, 0.500) and F at (0.000, 0.000, 0.106).

The uncorrected formation energy is -0.4553 eV per atom. As for the total energy: -28.272 eV/f.u.

=====

DFT (GGA-PBE) results for RbBiP2Pd4 after structural relaxation.

It has space group P4/mmm (No. 123), with a = 4.113 Å, b = 4.113 Å, c = 10.727 Å, α = 90.00°, β = 90.00° and γ = 90.00°. The distinct sites, in fractional coordinates, are Rb at (0.000, 0.000, 0.000), Bi at (0.000, 0.000, 0.500), P at (0.500, 0.500, 0.202) and Pd at (0.000, 0.500, 0.307).

As for the energy relative to the elements: -381 meV per atom. As for the total energy: -39.490 eV/f.u.

=====

DFT (GGA-PBE) results for Pr5HoIn6 after structural relaxation.

It has space group Immm (No. 71), with a = 5.488 Å, b = 7.739 Å, c = 16.457 Å, α = 90.00°, β = 90.00° and γ = 90.00°. The distinct sites, in fractional coordinates, are Pr at (0.000, 0.000, 0.000), Pr at (0.000, 0.000, 0.327), Pr at (0.000, 0.500, 0.336), Ho at (0.000, 0.500, 0.000), In at (0.000, 0.234, 0.500) and In at (0.000, 0.258, 0.163).

As for the energy relative to the elements: -486 meV per atom. As for the total energy: -50.736 eV/f.u.

=====

DFT (GGA-PBE) results for LaSm12Tm2 after structural relaxation.

It has space group Cmme (No. 67), with a = 7.122 Å, b = 11.507 Å, c = 24.944 Å, α = 90.00°, β = 90.00° and γ = 90.00°. The distinct sites, in fractional coordinates, are La at (0.000, 0.250, 0.007), Sm at (0.000, 0.012, 0.922), Sm at (0.000, 0.023, 0.440), Sm at (0.233, 0.250, 0.586), Sm at (0.244, 0.250, 0.135), Sm at (0.250, 0.000, 0.201), Sm at (0.250, 0.000, 0.326), Tm at (0.000, 0.250, 0.272) and Tm at (0.000, 0.250, 0.732).

As for the energy relative to the elements: 162 meV per atom. As for the total energy: -68.076 eV/f.u.

=====

DFT (GGA-PBE) results for PuTl3I6 after structural relaxation.

It has space group P2_1/c (No. 14), with a = 8.210 Å, b = 9.232 Å, c = 14.000 Å, α = 90.00°, β = 121.26° and γ = 90.00°. The distinct sites, in fractional coordinates, are Pu at (0.000, 0.000, 0.000), Tl at (0.311, 0.095, 0.774), Tl at (0.500, 0.000, 0.500), I at (0.087, 0.065, 0.239), I at (0.236, 0.714, 0.081) and I at (0.363, 0.170, 0.052).

The uncorrected formation energy is -0.8193 eV per atom. As for the total energy: -38.925 eV/f.u.

=====

DFT (GGA-PBE) results for Rb3ThNp2Te6 after structural relaxation.

It has space group C2/m (No. 12), with a = 7.955 Å, b = 13.780 Å, c = 8.997 Å, α = 90.00°, β = 107.14° and γ = 90.00°. The distinct sites, in fractional coordinates, are Rb at (0.000, 0.000, 0.000), Rb at (0.000, 0.333, 0.000), Th at (0.000, 0.500, 0.500), Np at (0.000, 0.167, 0.500), Te at (0.234, 0.334, 0.704) and Te at (0.236, 0.000, 0.704).

The uncorrected formation energy is -0.9898 eV per atom. As for the total energy: -66.932 eV/f.u.

=====

DFT (GGA-PBE) results for PuCdBi after structural relaxation.

It has space group I4mm (No. 107), with a = 3.475 Å, b = 3.475 Å, c = 14.013 Å, α = 90.00°, β = 90.00° and γ = 90.00°. The distinct sites, in fractional coordinates, are Pu at (0.000, 0.000, 0.000), Cd at (0.000, 0.000, 0.337) and Bi at (0.000, 0.000, 0.668).

As for the energy relative to the elements: -103 meV per atom. As for the total energy: -19.436 eV/f.u.

=====

DFT (GGA-PBE) results for KSiHg after structural relaxation.

It has space group F-43m (No. 216), with a = 7.848 Å, b = 7.848 Å, c = 7.848 Å, α = 90.00°, β = 90.00° and γ = 90.00°. The distinct sites, in fractional coordinates, are K at (0.000, 0.000, 0.000), Si at (0.250, 0.250, 0.750) and Hg at (0.250, 0.250, 0.250).

The uncorrected formation energy is 0.8024 eV per atom. As for the total energy: -4.415 eV/f.u.

=====

Number 3 is which compound?
NaTaTc2H

=====

Which formula does entry 2 have?
Rb4Ac3PrO8